Arrangement A

A geometry-optimized PuGeAs2 structure. Source: Alexandria via LeMat-Bulk, functional PBE-GGA.

The structure in extended XYZ format:
```
16
Lattice="3.5553 0.0000 0.0000 0.0000 5.8077 0.0000 0.0000 0.0000 16.3595" Properties=species:S:1:pos:R:3 pbc="T T T"
Pu 2.6665 2.4269 8.8112
Pu 0.8888 3.3808 7.5483
Pu 2.6665 5.3308 15.7281
Pu 0.8888 0.4769 0.6314
Ge 2.6665 4.3250 2.7964
Ge 2.6665 1.4211 5.3833
Ge 0.8888 1.4827 13.5631
Ge 0.8888 4.3866 10.9762
As 2.6665 5.2657 9.2538
As 0.8888 0.5420 7.1057
As 2.6665 2.3618 15.2855
As 0.8888 3.4459 1.0740
As 0.8888 1.8469 10.9172
As 2.6665 1.0570 2.7375
As 0.8888 4.7507 13.6220
As 2.6665 3.9608 5.4423
```



Arrangement B

A geometry-optimized PuGeAs2 structure. Source: Alexandria via LeMat-Bulk, functional PBE-GGA.

The structure in extended XYZ format:
```
4
Lattice="-1.3511 -4.0676 1.2964 -0.9550 -3.1238 -3.0629 6.2542 -4.6842 -0.4459" Properties=species:S:1:pos:R:3 pbc="T T T"
As 4.0270 -3.9589 -0.4912
As -0.0788 -7.9167 -1.7212
Ge 0.0000 0.0000 0.0000
Pu 1.9741 -5.9378 -1.1062
```



What are the relative energies? In kJ/mol of atoms: arrangement A 0.0; arrangement B 11.5.



Arrangement A

A geometry-optimized PuGeAs2 structure. Source: Alexandria via LeMat-Bulk, functional PBE-GGA.

The structure in extended XYZ format:
```
4
Lattice="4.0319 0.0000 0.0000 0.0000 4.4209 0.0000 0.0000 0.0000 4.4209" Properties=species:S:1:pos:R:3 pbc="T T T"
As 0.0000 0.0000 2.2105
As 0.0000 2.2105 0.0000
Ge 2.0159 0.0000 0.0000
Pu 2.0159 2.2105 2.2105
```



Arrangement B

A geometry-optimized PuGeAs2 structure. Source: Alexandria via LeMat-Bulk, functional PBE-GGA.

The structure in extended XYZ format:
```
4
Lattice="3.7857 0.0000 0.0000 0.0000 3.7857 0.0000 0.0000 0.0000 5.7413" Properties=species:S:1:pos:R:3 pbc="T T T"
As 0.0000 0.0000 4.3491
As 0.0000 0.0000 1.3922
Ge 1.8928 1.8928 0.0000
Pu 1.8928 1.8928 2.8707
```



What are the relative energies? In kJ/mol of atoms: arrangement A 0.0; arrangement B 9.2.



Arrangement A

A geometry-optimized Pu2GeAs structure. Source: Alexandria via LeMat-Bulk, functional PBE-GGA.

The structure in extended XYZ format:
```
4
Lattice="-2.2638 -4.3738 -0.9066 -0.1473 -3.5267 3.5521 -4.3307 -1.0945 2.2637" Properties=species:S:1:pos:R:3 pbc="T T T"
As 0.0000 0.0000 0.0000
Ge -3.3709 -4.4975 2.4546
Pu -1.6854 -2.2488 1.2273
Pu -5.0563 -6.7463 3.6819
```



Arrangement B

A geometry-optimized Pu2GeAs structure. Source: Alexandria via LeMat-Bulk, functional PBE-GGA.

The structure in extended XYZ format:
```
8
Lattice="-2.8979 0.3095 2.8448 -2.9281 0.7998 -3.0697 -0.6015 -11.4310 0.6311" Properties=species:S:1:pos:R:3 pbc="T T T"
Pu -4.3909 -3.3919 0.2691
Pu -2.0366 -6.9298 0.1371
Pu -5.4455 -9.0238 -0.1923
Pu -0.9820 -1.2979 0.5985
Ge -2.6295 -10.0963 -0.1223
Ge -3.7980 -0.2254 0.5285
As -1.5046 -4.0891 0.3699
As -4.9228 -6.2326 0.0364
```



Arrangement C

A geometry-optimized Pu2GeAs structure. Source: Alexandria via LeMat-Bulk, functional PBE-GGA.

The structure in extended XYZ format:
```
4
Lattice="2.9379 0.0000 0.0000 0.0000 5.4321 0.0000 0.0000 0.0000 5.4321" Properties=species:S:1:pos:R:3 pbc="T T T"
As 1.4689 2.7161 2.7161
Ge 1.4689 0.0000 0.0000
Pu 0.0000 0.0000 2.7161
Pu 0.0000 2.7161 0.0000
```



What are the relative energies? In kJ/mol of atoms: arrangement A 16.4; arrangement B 0.0; arrangement C 6.3.



Arrangement A

A geometry-optimized PuGe2As structure. Source: Alexandria via LeMat-Bulk, functional PBE-GGA.

The structure in extended XYZ format:
```
4
Lattice="-3.7615 -2.2302 0.6980 0.7756 -2.3632 -3.3711 2.0703 -2.7412 2.3980" Properties=species:S:1:pos:R:3 pbc="T T T"
As -0.4578 -3.6674 -0.1376
Ge 1.0352 -1.3706 1.1990
Ge 0.3878 -1.1816 -1.6856
Pu -1.8807 -1.1151 0.3490
```



Arrangement B

A geometry-optimized PuGe2As structure. Source: Alexandria via LeMat-Bulk, functional PBE-GGA.

The structure in extended XYZ format:
```
4
Lattice="5.0907 0.0000 0.0000 2.5454 4.4087 0.0000 2.5454 1.4696 3.7958" Properties=species:S:1:pos:R:3 pbc="T T T"
As 0.0000 0.0000 0.0000
Ge 2.5453 1.4696 1.0549
Ge 7.6361 4.4087 2.7409
Pu 5.0907 2.9391 1.8979
```



What are the relative energies? In kJ/mol of atoms: arrangement A 0.0; arrangement B 41.2.



Arrangement A

A geometry-optimized RbGe3As3 structure. Source: Alexandria via LeMat-Bulk, functional PBE-GGA.

The structure in extended XYZ format:
```
14
Lattice="7.4219 0.0000 0.0000 0.0000 7.4219 0.0000 0.0000 0.0000 7.4219" Properties=species:S:1:pos:R:3 pbc="T T T"
As 0.0000 1.8555 3.7110
As 0.0000 5.5664 3.7110
As 3.7110 0.0000 5.5664
As 5.5664 3.7110 0.0000
As 3.7110 0.0000 1.8555
As 1.8555 3.7110 0.0000
Ge 1.8555 0.0000 3.7110
Ge 0.0000 3.7110 1.8555
Ge 3.7110 5.5664 0.0000
Ge 5.5664 0.0000 3.7110
Ge 0.0000 3.7110 5.5664
Ge 3.7110 1.8555 0.0000
Rb 3.7110 3.7110 3.7110
Rb 0.0000 0.0000 0.0000
```



Arrangement B

A geometry-optimized RbGe3As3 structure. Source: Alexandria via LeMat-Bulk, functional PBE-GGA.

The structure in extended XYZ format:
```
14
Lattice="-3.4303 -0.9140 -7.0807 -7.4457 -2.6591 -0.4799 -6.3341 6.3322 -2.1790" Properties=species:S:1:pos:R:3 pbc="T T T"
Rb -3.6281 -1.1833 -2.5198
Rb -13.5820 3.9424 -7.2198
Ge -11.4196 1.4234 -4.9701
Ge -7.6169 2.8862 -7.0347
Ge -7.7834 2.6196 -2.4780
Ge -9.4267 0.1395 -7.2616
Ge -9.5932 -0.1271 -2.7048
Ge -5.7906 1.3357 -4.7695
As -6.9431 0.2194 -2.5690
As -6.7307 0.5028 -7.1325
As -10.5625 -0.9687 -5.1067
As -6.6477 3.7278 -4.6329
As -10.4794 2.2563 -2.6071
As -10.2670 2.5397 -7.1706
```



Arrangement C

A geometry-optimized RbGe3As3 structure. Source: Alexandria via LeMat-Bulk, functional PBE-GGA.

The structure in extended XYZ format:
```
28
Lattice="3.8864 0.0000 0.0000 0.0000 10.1875 0.0000 0.0000 0.0000 20.0581" Properties=species:S:1:pos:R:3 pbc="T T T"
Rb 0.9716 2.5710 10.9789
Rb 0.9716 7.6647 19.1082
Rb 2.9148 7.6165 9.0792
Rb 2.9148 2.5228 0.9499
Ge 0.9716 3.4650 16.8145
Ge 0.9716 8.5587 13.2726
Ge 2.9148 6.7225 3.2436
Ge 2.9148 1.6287 6.7854
Ge 0.9716 3.8997 4.9018
Ge 0.9716 8.9934 5.1272
Ge 2.9148 6.2878 15.1562
Ge 2.9148 1.1940 14.9309
Ge 0.9716 4.9767 7.2593
Ge 0.9716 10.0704 2.7697
Ge 2.9148 5.2108 12.7987
Ge 2.9148 0.1171 17.2884
As 0.9716 0.1307 7.2632
As 0.9716 5.2245 2.7658
As 2.9148 10.0568 12.7948
As 2.9148 4.9630 17.2923
As 0.9716 1.4772 18.2559
As 0.9716 6.5710 11.8312
As 2.9148 8.7102 1.8021
As 2.9148 3.6165 8.2269
As 0.9716 2.7370 14.4676
As 0.9716 7.8307 15.6195
As 2.9148 7.4505 5.5904
As 2.9148 2.3568 4.4386
```



What are the relative energies? In kJ/mol of atoms: arrangement A 19.5; arrangement B 14.4; arrangement C 0.0.



Arrangement A

A geometry-optimized Rb3GeAs2 structure. Source: Alexandria via LeMat-Bulk, functional PBE-GGA.

The structure in extended XYZ format:
```
12
Lattice="-0.5485 5.2248 5.9927 -9.9375 -0.1013 -0.8213 4.8823 -8.4369 2.5035" Properties=species:S:1:pos:R:3 pbc="T T T"
Rb -2.7586 2.5871 2.7910
Rb -7.7274 2.5364 2.3804
Rb 1.9901 -0.9456 6.3057
Rb -2.6251 -2.3171 1.7799
Rb -7.5938 -2.3677 1.3692
Rb -2.9786 -0.9963 5.8951
Ge -4.9687 -0.0506 -0.4106
Ge 0.0000 0.0000 0.0000
As -0.4450 -3.3433 5.7975
As -0.4925 2.9629 5.5941
As -5.1112 -6.2763 2.0809
As -5.1587 0.0300 1.8775
```



Arrangement B

A geometry-optimized Rb3GeAs2 structure. Source: Alexandria via LeMat-Bulk, functional PBE-GGA.

The structure in extended XYZ format:
```
12
Lattice="7.9041 0.0000 -3.2815 -1.1237 6.3317 -2.7067 -0.7610 0.0080 9.3271" Properties=species:S:1:pos:R:3 pbc="T T T"
Rb 1.8643 4.3292 0.3609
Rb 4.1552 2.0105 2.9781
Rb -1.3860 5.1764 3.6920
Rb 7.4055 1.1634 -0.3530
Rb 3.1093 4.7488 -3.6708
Rb 3.6711 1.5829 -2.3174
Ge -0.2809 1.5829 -0.6767
Ge -0.8428 4.7488 -2.0300
As 1.8409 0.5471 0.5156
As 4.1786 5.7926 2.8233
As -0.3884 2.6268 6.3060
As 6.4079 3.7130 -2.9670
```



What are the relative energies? In kJ/mol of atoms: arrangement A 14.1; arrangement B 0.0.



Arrangement A

A geometry-optimized Rb3GeAs structure. Source: Alexandria via LeMat-Bulk, functional PBE-GGA.

The structure in extended XYZ format:
```
10
Lattice="4.0670 -0.0014 -0.0027 -2.0364 9.7730 -0.5607 -0.0074 -0.9209 10.7524" Properties=species:S:1:pos:R:3 pbc="T T T"
Rb -0.0697 1.3901 3.8081
Rb -0.0736 8.0344 6.1176
Rb 1.9595 1.9411 8.5129
Rb 1.9613 9.4871 0.0662
Rb -0.0692 5.5670 0.1790
Rb 1.9611 5.3130 3.7093
Ge -0.0738 4.3572 6.9859
Ge 1.9609 5.6349 7.6598
As -0.0716 8.1241 2.7356
As 1.9630 2.7549 1.1445
```



Arrangement B

A geometry-optimized Rb3GeAs structure. Source: Alexandria via LeMat-Bulk, functional PBE-GGA.

The structure in extended XYZ format:
```
5
Lattice="-5.1401 0.1317 4.2222 -2.4028 -5.5606 -2.7517 3.4744 -3.6508 4.3435" Properties=species:S:1:pos:R:3 pbc="T T T"
As 0.0000 0.0000 0.0000
Ge -2.0343 -4.5398 2.9070
Rb -1.2014 -2.7803 -1.3759
Rb 1.7372 -1.8254 2.1717
Rb -2.5701 0.0658 2.1111
```



What are the relative energies? In kJ/mol of atoms: arrangement A 0.0; arrangement B 34.4.



Arrangement A

A geometry-optimized RbTaTlGeTeAs structure. Source: Alexandria via LeMat-Bulk, functional PBE-GGA.

The structure in extended XYZ format:
```
6
Lattice="3.7091 0.0013 0.0022 1.8551 5.7406 -0.0114 1.8438 0.4698 8.7756" Properties=species:S:1:pos:R:3 pbc="T T T"
Rb 5.1798 4.9465 4.2476
Ta 3.3236 2.7196 7.9119
Tl 3.3316 2.2897 2.2282
Ge 5.1762 4.4779 8.5758
Te 5.1788 1.7871 6.0703
As 1.4794 0.4848 0.8960
```



Arrangement B

A geometry-optimized RbTaTlGeTeAs structure. Source: Alexandria via LeMat-Bulk, functional PBE-GGA.

The structure in extended XYZ format:
```
6
Lattice="-3.0248 3.9110 0.3790 -4.0054 -0.9583 5.5214 2.8878 3.0963 5.5742" Properties=species:S:1:pos:R:3 pbc="T T T"
Rb -1.6459 3.1128 4.2494
Ta -0.6894 1.1185 0.5315
Tl -2.0134 3.9573 8.8804
Ge -2.0695 5.9712 7.0382
Te -2.6580 1.2729 7.3353
As 0.3431 5.8124 6.2478
```



Arrangement C

A geometry-optimized RbTaTlGeTeAs structure. Source: Alexandria via LeMat-Bulk, functional PBE-GGA.

The structure in extended XYZ format:
```
6
Lattice="-3.1601 1.6422 0.9607 -2.6056 -3.5350 -2.4972 -2.6188 -5.5250 7.7370" Properties=species:S:1:pos:R:3 pbc="T T T"
Rb -3.9562 -5.2855 2.1818
Ta -6.0503 -4.1715 7.5325
Tl -4.2359 -1.3032 1.6396
Ge -3.9361 -3.1891 -1.1416
Te -4.3004 -3.7123 5.4204
As -7.3436 -6.0704 6.5427
```



What are the relative energies? In kJ/mol of atoms: arrangement A 5.5; arrangement B 14.6; arrangement C 0.0.